(1)
# Ce2ZrSc | Alexandria | PBE | relaxed
# ΔE_f = 0.39 eV per formula unit
# relative energy among the computed polymorphs = 0.000 eV per atom
data_Ce2ZrSc
_space_group_name_H-M_alt 'P 4/m m m'
_space_group_IT_number 123
_space_group_name_Hall '-P 4 2'
_cell_length_a 4.555
_cell_length_b 4.555
_cell_length_c 4.940
_cell_angle_alpha 90.00
_cell_angle_beta 90.00
_cell_angle_gamma 90.00
loop_
_atom_site_label
_atom_site_fract_x
_atom_site_fract_y
_atom_site_fract_z
_atom_site_occupancy
Ce1 0.000 0.500 0.000 1
Zr1 0.000 0.000 0.500 1
Sc1 0.500 0.500 0.500 1

---

(2)
# CaDyEr2S4 | Alexandria | PBE | relaxed
# uncorrected formation energy = -193.19 kJ/mol of atoms
data_CaDyEr2S4
_space_group_name_H-M_alt 'P 1 2/m 1'
_space_group_IT_number 10
_cell_length_a 6.769
_cell_length_b 3.892
_cell_length_c 6.775
_cell_angle_alpha 90.00
_cell_angle_beta 109.17
_cell_angle_gamma 90.00
loop_
_space_group_symop_operation_xyz
'x,y,z'
'-x,-y,-z'
'-x,y,-z'
'x,-y,z'
loop_
_atom_site_label
_atom_site_fract_x
_atom_site_fract_y
_atom_site_fract_z
_atom_site_occupancy
Ca1 0.000 0.000 0.000 1
Dy1 0.000 0.500 0.500 1
Er1 0.500 0.000 0.500 1
Er2 0.500 0.500 0.000 1
S1 0.254 0.000 0.751 1
S2 0.256 0.500 0.253 1

---

(3)
# CeErSc2 | Alexandria | PBE | relaxed
# ΔE_f = 0.30 eV per formula unit
# relative energy among the computed polymorphs = 0.003 eV per atom
data_CeErSc2
_space_group_name_H-M_alt 'R 3 m'
_space_group_IT_number 160
_space_group_name_Hall 'R 3 -2"'
_cell_length_a 3.3567
_cell_length_b 3.3567
_cell_length_c 33.0059
_cell_angle_alpha 90.00
_cell_angle_beta 90.00
_cell_angle_gamma 120.00
loop_
_atom_site_label
_atom_site_fract_x
_atom_site_fract_y
_atom_site_fract_z
_atom_site_occupancy
Ce1 0.0000 0.0000 0.0000 1
Er1 0.0000 0.0000 0.8342 1
Sc1 0.0000 0.0000 0.2503 1
Sc2 0.0000 0.0000 0.4173 1

---

(4)
# Na5Pb | Alexandria | PBE | relaxed
# ΔE_f = -0.39 eV per formula unit
# relative energy among the computed polymorphs = 0.013 eV per atom
data_Na5Pb
_space_group_name_H-M_alt 'C m m m'
_space_group_IT_number 65
_space_group_name_Hall '-C 2 2'
_cell_length_a 5.095
_cell_length_b 14.758
_cell_length_c 5.153
_cell_angle_alpha 90.00
_cell_angle_beta 90.00
_cell_angle_gamma 90.00
loop_
_atom_site_label
_atom_site_fract_x
_atom_site_fract_y
_atom_site_fract_z
_atom_site_occupancy
Na1 0.000 0.000 0.000 1
Na2 0.000 0.156 0.500 1
Na3 0.000 0.346 0.000 1
Pb1 0.000 0.500 0.500 1

---

(5)
# AlAgIr | Alexandria | PBE | relaxed
# ΔE_f = -0.47 eV per formula unit
# relative energy among the computed polymorphs = 0.126 eV per atom
data_AlAgIr
_space_group_name_H-M_alt 'P 3 m 1'
_space_group_IT_number 156
_cell_length_a 4.2803
_cell_length_b 4.2803
_cell_length_c 2.9474
_cell_angle_alpha 90.00
_cell_angle_beta 90.00
_cell_angle_gamma 120.00
loop_
_space_group_symop_operation_xyz
'x,y,z'
'-y,x-y,z'
'-x+y,-x,z'
'-y,-x,z'
'-x+y,y,z'
'x,x-y,z'
loop_
_atom_site_label
_atom_site_fract_x
_atom_site_fract_y
_atom_site_fract_z
_atom_site_occupancy
Al1 0.0000 0.0000 0.0000 1
Ag1 0.6667 0.3333 0.6942 1
Ir1 0.3333 0.6667 0.2275 1

---

(6)
# ErTmCuNi | Alexandria | PBE | relaxed
# ΔE_f = -1.58 eV per formula unit
# relative energy among the computed polymorphs = 0.000 eV per atom
data_ErTmCuNi
_space_group_name_H-M_alt 'A m m 2'
_space_group_IT_number 38
_cell_length_a 4.368
_cell_length_b 3.635
_cell_length_c 10.082
_cell_angle_alpha 90.00
_cell_angle_beta 90.00
_cell_angle_gamma 90.00
loop_
_space_group_symop_operation_xyz
'x,y,z'
'-x,-y,z'
'-x,y,z'
'x,-y,z'
'x,y+1/2,z+1/2'
'-x,-y+1/2,z+1/2'
'-x,y+1/2,z+1/2'
'x,-y+1/2,z+1/2'
loop_
_atom_site_label
_atom_site_fract_x
_atom_site_fract_y
_atom_site_fract_z
_atom_site_occupancy
Er1 0.000 0.000 0.000 1
Tm1 0.500 0.000 0.722 1
Cu1 0.500 0.000 0.434 1
Ni1 0.000 0.000 0.287 1